[1]
Here is a relaxed structure of CoAgPdO4 from Alexandria. Energies are from PBE with a Hubbard U.

a b c (Å): 6.143 6.143 6.143
angles (deg): 122.64 117.01 90.37
Fractional positions:
1 Co 0.500 0.000 0.000
2 Co 0.500 0.500 0.500
3 Ag 0.099 0.349 0.750
4 Ag 0.901 0.651 0.250
5 Pd 0.000 0.000 0.000
6 Pd 0.500 0.000 0.500
7 O 0.276 0.246 0.471
8 O 0.276 0.805 0.029
9 O 0.290 0.236 0.055
10 O 0.319 0.764 0.555
11 O 0.681 0.236 0.445
12 O 0.710 0.764 0.945
13 O 0.724 0.195 0.971
14 O 0.724 0.754 0.529

Calculated values
The symmetry is Imma (74). Its total magnetization is 0.0 μB/f.u. Its total energy is -5.24 eV per atom.



[2]
Here is a relaxed structure of Pm2CoAg3O6 from Alexandria. Energies are from PBE with a Hubbard U.

a b c (Å): 6.021 6.021 6.550
angles (deg): 98.65 98.65 120.14
Fractional positions:
1 Pm 0.167 0.833 0.000
2 Pm 0.833 0.167 0.000
3 Co 0.500 0.500 0.000
4 Ag 0.000 0.000 0.500
5 Ag 0.354 0.646 0.500
6 Ag 0.646 0.354 0.500
7 O 0.144 0.144 0.832
8 O 0.258 0.555 0.166
9 O 0.445 0.742 0.834
10 O 0.555 0.258 0.166
11 O 0.742 0.445 0.834
12 O 0.856 0.856 0.168

Calculated values
The symmetry is C2/m (12). Its total magnetization is 4.0 μB/f.u. Its total energy is -6.00 eV per atom.



[3]
Here is a relaxed structure of PmCoAg2O4 from Alexandria. Energies are from PBE with a Hubbard U.

a b c (Å): 5.411 5.411 5.411
angles (deg): 112.10 110.03 106.33
Fractional positions:
1 Pm 0.000 0.000 0.000
2 Co 0.500 0.000 0.500
3 Ag 0.266 0.500 0.766
4 Ag 0.734 0.500 0.234
5 O 0.151 0.030 0.469
6 O 0.439 0.970 0.121
7 O 0.561 0.682 0.531
8 O 0.849 0.318 0.879

Calculated values
The symmetry is I222 (23). Its total magnetization is 4.0 μB/f.u. Its total energy is -5.63 eV per atom. For the density of states at the Fermi level, the calculation gives 0.013 states/eV/atom.



[4]
Here is a relaxed structure of CoAgPtO4 from Alexandria. Energies are from PBE with a Hubbard U.

a b c (Å): 6.183 6.183 6.183
angles (deg): 123.14 117.05 89.92
Fractional positions:
1 Co 0.500 0.000 0.000
2 Co 0.500 0.500 0.500
3 Ag 0.095 0.345 0.750
4 Ag 0.905 0.655 0.250
5 Pt 0.000 0.000 0.000
6 Pt 0.500 0.000 0.500
7 O 0.276 0.245 0.468
8 O 0.276 0.808 0.032
9 O 0.288 0.233 0.055
10 O 0.322 0.767 0.555
11 O 0.678 0.233 0.445
12 O 0.712 0.767 0.945
13 O 0.724 0.192 0.968
14 O 0.724 0.755 0.532

Calculated values
The symmetry is Imma (74). Its total magnetization is 0.0 μB/f.u. Its total energy is -5.40 eV per atom.



[5]
Here is a relaxed structure of PuCo2Ag3O6 from Alexandria. Energies are from PBE with a Hubbard U.

a b c (Å): 5.406 5.406 6.646
angles (deg): 98.02 98.02 121.16
Fractional positions:
1 Pu 0.000 0.000 0.000
2 Co 0.331 0.669 0.000
3 Co 0.669 0.331 0.000
4 Ag 0.169 0.831 0.500
5 Ag 0.500 0.500 0.500
6 Ag 0.831 0.169 0.500
7 O 0.044 0.695 0.168
8 O 0.305 0.956 0.832
9 O 0.406 0.406 0.169
10 O 0.594 0.594 0.831
11 O 0.695 0.044 0.168
12 O 0.956 0.305 0.832

Calculated values
The symmetry is C2/m (12). Its total magnetization is 5.0 μB/f.u. Its total energy is -6.35 eV per atom. For the density of states at the Fermi level, the calculation gives 0.412 states/eV/atom.



[6]
Here is a relaxed structure of PuCoAg2O6 from Alexandria. Energies are from PBE with a Hubbard U.

a b c (Å): 5.435 5.435 4.278
angles (deg): 90.00 90.00 90.00
Fractional positions:
1 Pu 0.000 0.000 0.000
2 Co 0.500 0.500 0.979
3 Ag 0.000 0.500 0.494
4 Ag 0.500 0.000 0.494
5 O 0.000 0.000 0.507
6 O 0.257 0.257 0.006
7 O 0.257 0.743 0.006
8 O 0.500 0.500 0.545
9 O 0.743 0.257 0.006
10 O 0.743 0.743 0.006

Calculated values
The symmetry is P4mm (99). Its total magnetization is 1.0 μB/f.u. Its total energy is -6.54 eV per atom. For the density of states at the Fermi level, the calculation gives 0.444 states/eV/atom.



[7]
Here is a relaxed structure of PuCo2AgO8 from Alexandria. Energies are from PBE with a Hubbard U.

a b c (Å): 5.864 5.864 5.864
angles (deg): 108.65 108.65 111.12
Fractional positions:
1 Pu 0.000 0.000 0.000
2 Co 0.250 0.750 0.500
3 Co 0.500 0.500 0.000
4 Ag 0.750 0.250 0.500
5 O 0.061 0.346 0.285
6 O 0.061 0.777 0.715
7 O 0.140 0.318 0.822
8 O 0.223 0.939 0.285
9 O 0.496 0.318 0.178
10 O 0.654 0.939 0.715
11 O 0.682 0.504 0.822
12 O 0.682 0.860 0.178

Calculated values
The symmetry is I-4m2 (119). Its total magnetization is 5.0 μB/f.u. Its total energy is -6.55 eV per atom. For the density of states at the Fermi level, the calculation gives 0.440 states/eV/atom.



[8]
Here is a relaxed structure of PuCo2Ag2O6 from Alexandria. Energies are from PBE with a Hubbard U.

a b c (Å): 5.206 5.206 6.385
angles (deg): 99.09 99.09 119.21
Fractional positions:
1 Pu 0.000 0.000 0.000
2 Co 0.333 0.667 0.000
3 Co 0.667 0.333 0.000
4 Ag 0.321 0.679 0.500
5 Ag 0.679 0.321 0.500
6 O 0.069 0.702 0.175
7 O 0.298 0.931 0.825
8 O 0.427 0.427 0.178
9 O 0.573 0.573 0.822
10 O 0.702 0.069 0.175
11 O 0.931 0.298 0.825

Calculated values
The symmetry is C2/m (12). Its total magnetization is 4.0 μB/f.u. Its total energy is -6.64 eV per atom. For the density of states at the Fermi level, the calculation gives 0.533 states/eV/atom.



[9]
Here is a relaxed structure of Pu2CoAgO8 from Alexandria. Energies are from PBE with a Hubbard U.

a b c (Å): 5.987 5.987 5.987
angles (deg): 113.37 113.37 101.93
Fractional positions:
1 Pu 0.000 0.000 0.000
2 Pu 0.750 0.250 0.500
3 Co 0.250 0.750 0.500
4 Ag 0.500 0.500 0.000
5 O 0.054 0.359 0.305
6 O 0.054 0.749 0.695
7 O 0.064 0.270 0.794
8 O 0.251 0.946 0.305
9 O 0.475 0.270 0.206
10 O 0.641 0.946 0.695
11 O 0.730 0.525 0.794
12 O 0.730 0.936 0.206

Calculated values
The symmetry is I-4m2 (119). Its total magnetization is 6.0 μB/f.u. Its total energy is -8.09 eV per atom. For the density of states at the Fermi level, the calculation gives 0.580 states/eV/atom.



[10]
Here is a relaxed structure of Rb2CoAgO4 from Alexandria. Energies are from PBE with a Hubbard U.

a b c (Å): 12.363 11.077 6.581
angles (deg): 84.82 63.17 32.02
Fractional positions:
1 Rb 0.050 0.050 0.700
2 Rb 0.300 0.300 0.950
3 Rb 0.700 0.700 0.050
4 Rb 0.950 0.950 0.300
5 Co 0.375 0.375 0.375
6 Co 0.625 0.625 0.625
7 Ag 0.125 0.125 0.125
8 Ag 0.875 0.875 0.875
9 O 0.063 0.588 0.503
10 O 0.345 0.503 0.588
11 O 0.412 0.937 0.655
12 O 0.497 0.655 0.937
13 O 0.503 0.345 0.063
14 O 0.588 0.063 0.345
15 O 0.655 0.497 0.412
16 O 0.937 0.412 0.497

Calculated values
The symmetry is Fddd (70). Its total magnetization is 4.0 μB/f.u. Its total energy is -4.45 eV per atom.



[11]
Here is a relaxed structure of CoRe2AgO8 from Alexandria. Energies are from PBE with a Hubbard U.

a b c (Å): 5.884 5.884 6.318
angles (deg): 90.00 90.00 120.00
Fractional positions:
1 Co 0.000 0.000 0.000
2 Re 0.333 0.667 0.282
3 Re 0.667 0.333 0.718
4 Ag 0.000 0.000 0.500
5 O 0.168 0.336 0.194
6 O 0.168 0.832 0.194
7 O 0.333 0.667 0.558
8 O 0.336 0.168 0.806
9 O 0.664 0.832 0.194
10 O 0.667 0.333 0.442
11 O 0.832 0.168 0.806
12 O 0.832 0.664 0.806

Calculated values
The symmetry is P-3m1 (164). Its total magnetization is 2.0 μB/f.u. Its total energy is -7.31 eV per atom.



[12]
Here is a relaxed structure of CoAgSO4 from Alexandria. Energies are from PBE with a Hubbard U.

a b c (Å): 5.125 5.125 5.125
angles (deg): 110.30 110.30 107.83
Fractional positions:
1 Co 0.000 0.000 0.000
2 Ag 0.500 0.500 0.000
3 S 0.250 0.750 0.500
4 O 0.210 0.782 0.209
5 O 0.218 0.428 0.429
6 O 0.572 0.001 0.791
7 O 0.999 0.790 0.571

Calculated values
The symmetry is I-4 (82). Its total magnetization is 2.4 μB/f.u. Its total energy is -5.30 eV per atom. For the density of states at the Fermi level, the calculation gives 0.751 states/eV/atom.



[13]
Here is a relaxed structure of Co2Ag3SbO6 from Alexandria. Energies are from PBE with a Hubbard U.

a b c (Å): 5.455 5.455 18.933
angles (deg): 90.00 90.00 120.00
Fractional positions:
1 Co 0.110 0.555 0.000
2 Co 0.111 0.223 0.667
3 Co 0.111 0.889 0.333
4 Co 0.445 0.555 0.333
5 Co 0.445 0.890 0.667
6 Co 0.777 0.889 0.000
7 Ag 0.102 0.551 0.500
8 Ag 0.111 0.222 0.167
9 Ag 0.111 0.889 0.833
10 Ag 0.449 0.551 0.833
11 Ag 0.449 0.898 0.167
12 Ag 0.453 0.227 0.500
13 Ag 0.773 0.227 0.833
14 Ag 0.773 0.547 0.167
15 Ag 0.778 0.889 0.500
16 Sb 0.444 0.222 0.000
17 Sb 0.778 0.222 0.333
18 Sb 0.778 0.556 0.667
19 O 0.098 0.222 0.278
20 O 0.098 0.542 0.388
21 O 0.098 0.557 0.612
22 O 0.098 0.876 0.722
23 O 0.124 0.222 0.055
24 O 0.124 0.902 0.945
25 O 0.443 0.542 0.945
26 O 0.443 0.902 0.055
27 O 0.458 0.222 0.388
28 O 0.458 0.236 0.612
29 O 0.458 0.557 0.721
30 O 0.458 0.902 0.279
31 O 0.764 0.222 0.945
32 O 0.764 0.542 0.055
33 O 0.778 0.236 0.721
34 O 0.778 0.542 0.279
35 O 0.778 0.876 0.612
36 O 0.778 0.902 0.388

Calculated values
The symmetry is P3_112 (151). Its total magnetization is 5.9 μB/f.u. Its total energy is -5.26 eV per atom. For the density of states at the Fermi level, the calculation gives 0.006 states/eV/atom.



[14]
Here is a relaxed structure of CoAgSe2O6 from Alexandria. Energies are from PBE with a Hubbard U.

a b c (Å): 6.462 6.462 6.462
angles (deg): 47.84 47.84 47.84
Fractional positions:
1 Co 0.000 0.000 0.000
2 Ag 0.500 0.500 0.500
3 Se 0.228 0.228 0.228
4 Se 0.772 0.772 0.772
5 O 0.027 0.412 0.769
6 O 0.231 0.973 0.588
7 O 0.412 0.769 0.027
8 O 0.588 0.231 0.973
9 O 0.769 0.027 0.412
10 O 0.973 0.588 0.231

Calculated values
The symmetry is R-3 (148). Its total magnetization is 2.1 μB/f.u. Its total energy is -5.09 eV per atom. For the density of states at the Fermi level, the calculation gives 0.265 states/eV/atom.



[15]
Here is a relaxed structure of CoSiAg2O from Alexandria. Energies are from PBE with a Hubbard U.

a b c (Å): 5.021 5.021 3.347
angles (deg): 90.00 90.00 90.00
Fractional positions:
1 Co 0.000 0.000 0.000
2 Si 0.500 0.500 0.500
3 Ag 0.000 0.500 0.500
4 Ag 0.500 0.000 0.500
5 O 0.500 0.500 0.000

Calculated values
The symmetry is P4/mmm (123). Its total magnetization is 2.6 μB/f.u. Its total energy is -4.03 eV per atom. For the density of states at the Fermi level, the calculation gives 0.472 states/eV/atom.



[16]
Here is a relaxed structure of CoTc2AgO8 from Alexandria. Energies are from PBE with a Hubbard U.

a b c (Å): 5.829 5.829 6.362
angles (deg): 90.00 90.00 120.00
Fractional positions:
1 Co 0.000 0.000 0.000
2 Tc 0.333 0.667 0.275
3 Tc 0.667 0.333 0.725
4 Ag 0.000 0.000 0.500
5 O 0.163 0.330 0.194
6 O 0.167 0.837 0.194
7 O 0.330 0.167 0.806
8 O 0.333 0.667 0.548
9 O 0.667 0.333 0.452
10 O 0.670 0.833 0.194
11 O 0.833 0.163 0.806
12 O 0.837 0.670 0.806

Calculated values
The symmetry is P-3 (147). Its total magnetization is 2.0 μB/f.u. Its total energy is -6.81 eV per atom. For the density of states at the Fermi level, the calculation gives 0.345 states/eV/atom.



[17]
Here is a relaxed structure of CoAgTeO6 from Alexandria. Energies are from PBE with a Hubbard U.

a b c (Å): 5.068 5.068 9.599
angles (deg): 90.00 90.00 120.00
Fractional positions:
1 Co 0.333 0.667 0.250
2 Co 0.667 0.333 0.750
3 Ag 0.000 0.000 0.000
4 Ag 0.000 0.000 0.500
5 Te 0.333 0.667 0.750
6 Te 0.667 0.333 0.250
7 O 0.012 0.379 0.138
8 O 0.012 0.632 0.362
9 O 0.368 0.379 0.362
10 O 0.368 0.988 0.138
11 O 0.379 0.012 0.638
12 O 0.379 0.368 0.862
13 O 0.621 0.632 0.138
14 O 0.621 0.988 0.362
15 O 0.632 0.012 0.862
16 O 0.632 0.621 0.638
17 O 0.988 0.368 0.638
18 O 0.988 0.621 0.862

Calculated values
The symmetry is P-31c (163). Its total magnetization is 1.6 μB/f.u. Its total energy is -5.16 eV per atom. For the density of states at the Fermi level, the calculation gives 0.641 states/eV/atom.



[18]
Here is a relaxed structure of VCoAgO2 from Alexandria. Energies are from PBE with a Hubbard U.

a b c (Å): 3.780 3.780 4.593
angles (deg): 90.00 90.00 90.00
Fractional positions:
1 V 0.000 0.000 0.000
2 Co 0.000 0.000 0.500
3 Ag 0.500 0.500 0.000
4 O 0.000 0.500 0.500
5 O 0.500 0.000 0.500

Calculated values
The symmetry is P4/mmm (123). Its total magnetization is 1.6 μB/f.u. Its total energy is -4.48 eV per atom. For the density of states at the Fermi level, the calculation gives 0.465 states/eV/atom.